[1]
Computed, not measured: Pr8PtRh5 after structural relaxation at the PBE level of DFT.

Summary:
Space-group type: I-4 (82)
Total moment: 0.00 μB per cell
Formation energy: -669 meV per atom

Unit cell a=7.7632 b=7.7632 c=7.7632 alpha=109.32 beta=109.78 gamma=109.32
With the nearest neighbours (Å) after each atom.
Fractional positions:
Rh 0.7476 0.6250 0.6257  4 Pr 2.87-2.89
Rh 0.8775 0.8781 0.2524  4 Pr 2.87-2.89
Rh 0.5000 0.0000 0.5000  4 Pr 2.88
Rh 0.0007 0.3750 0.1225  4 Pr 2.87-2.89
Rh 0.3743 0.1219 0.9993  4 Pr 2.87-2.89
Pr 0.1253 0.7495 0.4917  3 Rh 2.87-2.89
Pr 0.6306 0.8747 0.8795  2 Rh 2.87-2.88, 1 Pt 2.93
Pr 0.5083 0.6336 0.2578  3 Rh 2.87-2.89
Pr 0.1205 0.7511 0.9952  2 Rh 2.87-2.88, 1 Pt 2.93
Pr 0.0048 0.1253 0.7559  2 Rh 2.87-2.88, 1 Pt 2.93
Pr 0.7422 0.2505 0.3758  3 Rh 2.87-2.89
Pr 0.2441 0.2489 0.3694  2 Rh 2.87-2.88, 1 Pt 2.93
Pr 0.6242 0.3664 0.8747  3 Rh 2.87-2.89
Pt 0.2500 0.5000 0.7500  4 Pr 2.93


[2]
Computed, not measured: Pr4Pt3Rh after structural relaxation at the PBE level of DFT.

Summary:
Space-group type: Pmm2 (25)
Total moment: 0.00 μB per cell
Formation energy: -1008 meV per atom

Unit cell a=3.9551 b=4.5312 c=10.9720 alpha=90.00 beta=90.00 gamma=90.00
With the nearest neighbours (Å) after each atom.
Fractional positions:
Pr 0.0000 0.5000 0.8652  5 Pt 3.05-3.06, 2 Rh 3.16
Pr 0.0000 0.0000 0.1369  3 Pt 3.04-3.14, 4 Rh 3.05
Pr 0.5000 0.0000 0.6368  7 Pt 3.05-3.15
Pr 0.5000 0.5000 0.3566  1 Rh 2.93, 6 Pt 3.07-3.21
Pt 0.0000 0.0000 0.4137  2 Pt 2.96, 7 Pr 3.04-3.15
Pt 0.0000 0.5000 0.5870  2 Pt 2.96, 7 Pr 3.05-3.21
Pt 0.5000 0.0000 0.9144  2 Rh 2.97, 7 Pr 3.05-3.14
Rh 0.5000 0.5000 0.0894  7 Pr 2.93-3.16, 2 Pt 2.97


[3]
Computed, not measured: Pr4PtRh after structural relaxation at the PBE level of DFT.

Summary:
Space-group type: C2/c (15)
ΔE to the lowest computed polymorph: 0.96 kJ per mole of atoms
Total moment: 0.00 μB per cell
Formation energy: -571 meV per atom

Unit cell a=7.1293 b=7.2069 c=8.6045 alpha=111.47 beta=111.16 gamma=97.32
With the nearest neighbours (Å) after each atom.
Fractional positions:
Pr 0.7620 0.5773 0.5280  1 Rh 2.78, 2 Pt 3.07-3.11
Pr 0.5147 0.7372 0.9713  2 Rh 2.85-3.15, 1 Pt 3.02
Pr 0.9565 0.2341 0.9713  2 Rh 2.85-3.15, 1 Pt 3.02
Pr 0.7340 0.0492 0.4720  1 Rh 2.78, 2 Pt 3.07-3.11
Pr 0.2660 0.9508 0.5280  1 Rh 2.78, 2 Pt 3.07-3.11
Pr 0.4853 0.2628 0.0287  2 Rh 2.85-3.15, 1 Pt 3.02
Pr 0.0435 0.7659 0.0287  2 Rh 2.85-3.15, 1 Pt 3.02
Pr 0.2380 0.4227 0.4720  1 Rh 2.78, 2 Pt 3.07-3.11
Rh 0.1407 0.8907 0.7814  4 Pr 2.78-2.85
Rh 0.8593 0.1093 0.2186  4 Pr 2.78-2.85
Pt 0.6227 0.3727 0.7453  8 Pr 3.02-3.24
Pt 0.3773 0.6273 0.2547  8 Pr 3.02-3.24


[4]
Computed, not measured: PrPt4Rh2 after structural relaxation at the PBE level of DFT.

Summary:
Space-group type: I4/mmm (139)
Total moment: 0.00 μB per cell
Formation energy: -469 meV per atom

Unit cell a=5.3076 b=5.4895 c=5.4895 alpha=76.50 beta=61.12 gamma=61.12
With the nearest neighbours (Å) after each atom.
Fractional positions:
Rh 0.2501 0.4999 0.4999  2 Rh 2.65, 8 Pt 2.79
Rh 0.7499 0.5001 0.5001  2 Rh 2.65, 8 Pt 2.79
Pt 0.3023 0.0000 0.3956  4 Pt 2.69-2.84, 4 Rh 2.79, 1 Pr 2.91
Pt 0.6977 0.6044 0.0000  4 Pt 2.69-2.84, 4 Rh 2.79, 1 Pr 2.91
Pt 0.3023 0.3956 0.0000  4 Pt 2.69-2.84, 4 Rh 2.79, 1 Pr 2.91
Pt 0.6977 0.0000 0.6044  4 Pt 2.69-2.84, 4 Rh 2.79, 1 Pr 2.91
Pr 0.0000 0.0000 0.0000  4 Pt 2.91


[5]
Computed, not measured: Pr3PtRh after structural relaxation at the PBE level of DFT.

Summary:
Space-group type: P2_1/c (14)
ΔE to the lowest computed polymorph: 0.00 kJ per mole of atoms
Total moment: 0.00 μB per cell
Formation energy: -755 meV per atom

Unit cell a=8.5620 b=7.5093 c=8.9804 alpha=90.00 beta=74.01 gamma=90.00
With the nearest neighbours (Å) after each atom.
Fractional positions:
Pr 0.2193 0.0039 0.4508  4 Rh 2.89-3.09, 1 Pt 3.08
Pr 0.6101 0.8473 0.2104  3 Pt 2.95-3.08, 2 Rh 2.99-3.28
Pr 0.1101 0.6527 0.2104  3 Pt 2.95-3.08, 2 Rh 2.99-3.28
Pr 0.8899 0.3473 0.7896  3 Pt 2.95-3.08, 2 Rh 2.99-3.28
Pr 0.2807 0.5039 0.5492  4 Rh 2.89-3.09, 1 Pt 3.08
Pr 0.9918 0.8143 0.8526  1 Rh 2.86, 3 Pt 3.06-3.19
Pr 0.3899 0.1527 0.7896  3 Pt 2.95-3.08, 2 Rh 2.99-3.28
Pr 0.7193 0.4961 0.4508  4 Rh 2.89-3.09, 1 Pt 3.08
Pr 0.7807 0.9961 0.5492  4 Rh 2.89-3.09, 1 Pt 3.08
Pr 0.5082 0.3143 0.1474  1 Rh 2.86, 3 Pt 3.06-3.19
Pr 0.0082 0.1857 0.1474  1 Rh 2.86, 3 Pt 3.06-3.19
Pr 0.4918 0.6857 0.8526  1 Rh 2.86, 3 Pt 3.06-3.19
Pt 0.1814 0.4644 0.9046  7 Pr 2.95-3.19, 1 Pt 3.15
Pt 0.6814 0.0356 0.9046  7 Pr 2.95-3.19, 1 Pt 3.15
Pt 0.3186 0.9644 0.0954  7 Pr 2.95-3.19, 1 Pt 3.15
Pt 0.8186 0.5356 0.0954  7 Pr 2.95-3.19, 1 Pt 3.15
Rh 0.0180 0.3114 0.4456  6 Pr 2.86-3.09, 1 Rh 2.98
Rh 0.9820 0.6886 0.5544  6 Pr 2.86-3.09, 1 Rh 2.98
Rh 0.5180 0.1886 0.4456  6 Pr 2.86-3.09, 1 Rh 2.98
Rh 0.4820 0.8114 0.5544  6 Pr 2.86-3.09, 1 Rh 2.98


[6]
Computed, not measured: Pr3Pt7Rh2 after structural relaxation at the PBE level of DFT.

Summary:
Space-group type: R-3m (166)
Total moment: 0.00 μB per cell
Formation energy: -826 meV per atom

Unit cell a=5.4661 b=5.4661 c=9.4478 alpha=73.19 beta=73.19 gamma=60.00
With the nearest neighbours (Å) after each atom.
Fractional positions:
Pt 0.5000 0.5000 0.5000  6 Pt 2.76
Pt 0.4163 0.4163 0.2467  2 Rh 2.68-2.73, 5 Pt 2.71-2.76
Pt 0.9207 0.4163 0.2467  2 Rh 2.68-2.73, 5 Pt 2.71-2.76
Pt 0.4163 0.9207 0.2467  2 Rh 2.68-2.73, 5 Pt 2.71-2.76
Pt 0.0793 0.5837 0.7533  2 Rh 2.68-2.73, 5 Pt 2.71-2.76
Pt 0.5837 0.5837 0.7533  2 Rh 2.68-2.73, 5 Pt 2.71-2.76
Pt 0.5837 0.0793 0.7533  2 Rh 2.68-2.73, 5 Pt 2.71-2.76
Pr 0.1387 0.1387 0.5839  12 Pt 3.12-3.39, 3 Pr 3.49
Pr 0.8613 0.8613 0.4161  12 Pt 3.12-3.39, 3 Pr 3.49
Pr 0.0000 0.0000 0.0000  6 Rh 3.16, 12 Pt 3.51
Rh 0.3325 0.3325 0.0026  6 Pt 2.68-2.73
Rh 0.6675 0.6675 0.9974  6 Pt 2.68-2.73


[7]
Computed, not measured: PrPt2Rh after structural relaxation at the PBE level of DFT.

Summary:
Space-group type: Pmma (51)
Total moment: 0.00 μB per cell
Formation energy: -140 meV per atom

Unit cell a=8.5234 b=5.4755 c=8.2700 alpha=90.00 beta=90.00 gamma=90.00
With the nearest neighbours (Å) after each atom.
Fractional positions:
Pr 0.0000 0.7500 0.3450  3 Rh 2.76-2.95
Pr 0.0000 0.2500 0.6550  3 Rh 2.76-2.95
Pr 0.5000 0.2500 0.8308  2 Rh 2.81, 4 Pt 3.00-3.06
Pr 0.5000 0.7500 0.1692  2 Rh 2.81, 4 Pt 3.00-3.06
Rh 0.5000 0.2500 0.2459  4 Pt 2.45-2.51
Rh 0.0000 0.2500 0.2986  3 Pr 2.76-2.95, 4 Pt 2.77-2.82
Rh 0.5000 0.7500 0.7541  4 Pt 2.45-2.51
Rh 0.0000 0.7500 0.7014  3 Pr 2.76-2.95, 4 Pt 2.77-2.82
Pt 0.7453 0.2500 0.0912  1 Rh 2.45, 2 Pt 2.68
Pt 0.2547 0.2500 0.0912  1 Rh 2.45, 2 Pt 2.68
Pt 0.0000 0.0000 0.0000  6 Pt 2.68-2.74, 2 Rh 2.82
Pt 0.5000 0.5000 0.5000  2 Rh 2.51, 2 Pt 2.74
Pt 0.0000 0.5000 0.0000  6 Pt 2.68-2.74, 2 Rh 2.82
Pt 0.2547 0.7500 0.9088  1 Rh 2.45, 2 Pt 2.68
Pt 0.5000 0.0000 0.5000  2 Rh 2.51, 2 Pt 2.74
Pt 0.7453 0.7500 0.9088  1 Rh 2.45, 2 Pt 2.68


[8]
Computed, not measured: PrPt2Rh after structural relaxation at the PBE level of DFT.

Summary:
Space-group type: R-3m (166)
Total moment: 0.00 μB per cell
Formation energy: -781 meV per atom

Unit cell a=5.4417 b=5.4417 c=9.4540 alpha=73.27 beta=73.27 gamma=60.00
With the nearest neighbours (Å) after each atom.
Fractional positions:
Pt 0.0808 0.5835 0.7522  3 Rh 2.69-2.75, 4 Pt 2.71-2.74
Pt 0.5835 0.0808 0.7522  3 Rh 2.69-2.75, 4 Pt 2.71-2.74
Pt 0.4165 0.9192 0.2478  3 Rh 2.69-2.75, 4 Pt 2.71-2.74
Pt 0.4165 0.4165 0.2478  3 Rh 2.69-2.75, 4 Pt 2.71-2.74
Pt 0.9192 0.4165 0.2478  3 Rh 2.69-2.75, 4 Pt 2.71-2.74
Pt 0.5835 0.5835 0.7522  3 Rh 2.69-2.75, 4 Pt 2.71-2.74
Pr 0.1400 0.1400 0.5801  9 Pt 3.12-3.35, 3 Rh 3.22, 3 Pr 3.45
Pr 0.0000 0.0000 0.0000  6 Rh 3.14, 12 Pt 3.51
Pr 0.8600 0.8600 0.4199  9 Pt 3.12-3.35, 3 Rh 3.22, 3 Pr 3.45
Rh 0.5000 0.5000 0.5000  6 Pt 2.75
Rh 0.6673 0.6673 0.9980  6 Pt 2.69-2.73
Rh 0.3327 0.3327 0.0020  6 Pt 2.69-2.73


[9]
Computed, not measured: Pr8PtRh2 after structural relaxation at the PBE level of DFT.

Summary:
Space-group type: C2/m (12)
ΔE to the lowest computed polymorph: 2.41 kJ per mole of atoms
Total moment: 0.00 μB per cell
Formation energy: -362 meV per atom

Unit cell a=6.0662 b=8.0201 c=8.0201 alpha=116.18 beta=100.36 gamma=100.36
With the nearest neighbours (Å) after each atom.
Fractional positions:
Pr 0.9251 0.9070 0.6600  2 Rh 2.85
Pr 0.5000 0.2186 0.7814  1 Pt 2.98, 2 Rh 3.18
Pr 0.5000 0.7814 0.2186  1 Pt 2.98, 2 Rh 3.18
Pr 0.0749 0.3400 0.0930  2 Rh 2.85
Pr 0.3326 0.6328 0.6328  1 Pt 2.93
Pr 0.9251 0.6600 0.9070  2 Rh 2.85
Pr 0.0749 0.0930 0.3400  2 Rh 2.85
Pr 0.6674 0.3672 0.3672  1 Pt 2.93
Rh 0.0000 0.7108 0.2892  6 Pr 2.85-3.18
Rh 0.0000 0.2892 0.7108  6 Pr 2.85-3.18
Pt 0.5000 0.0000 0.0000  4 Pr 2.93-2.98


[10]
Computed, not measured: Pr4PtRh3 after structural relaxation at the PBE level of DFT.

Summary:
Space-group type: Pmm2 (25)
Total moment: 0.00 μB per cell
Formation energy: -776 meV per atom

Unit cell a=3.9968 b=4.3103 c=11.1119 alpha=90.00 beta=90.00 gamma=90.00
With the nearest neighbours (Å) after each atom.
Fractional positions:
Pt 0.5000 0.5000 0.0836  2 Rh 2.87, 5 Pr 3.01-3.12
Rh 0.0000 0.5000 0.5862  2 Rh 2.89, 7 Pr 3.00-3.17
Rh 0.5000 0.0000 0.9134  2 Pt 2.87, 5 Pr 3.00-3.04
Rh 0.0000 0.0000 0.4124  2 Rh 2.89, 7 Pr 2.99-3.22
Pr 0.0000 0.0000 0.1429  3 Rh 2.99-3.24, 4 Pt 3.01
Pr 0.0000 0.5000 0.8571  5 Rh 3.00-3.01, 2 Pt 3.21
Pr 0.5000 0.0000 0.6401  7 Rh 3.00-3.22
Pr 0.5000 0.5000 0.3643  6 Rh 2.99-3.17, 1 Pt 3.12


[11]
Computed, not measured: PrPt4Rh after structural relaxation at the PBE level of DFT.

Summary:
Space-group type: F-43m (216)
Total moment: 0.93 μB per cell
Formation energy: -484 meV per atom

Unit cell a=5.3730 b=5.3730 c=5.3730 alpha=60.00 beta=60.00 gamma=60.00
With the nearest neighbours (Å) after each atom.
Fractional positions:
Pt 0.6242 0.6242 0.6242  6 Pt 2.67-2.70
Pt 0.1274 0.6242 0.6242  6 Pt 2.67-2.70
Pt 0.6242 0.1274 0.6242  6 Pt 2.67-2.70
Pt 0.6242 0.6242 0.1274  6 Pt 2.67-2.70
Rh 0.2500 0.2500 0.2500  12 Pt 3.15, 4 Pr 3.29
Pr 0.0000 0.0000 0.0000  12 Pt 3.15, 4 Rh 3.29


[12]
Computed, not measured: Pr6Pt2Rh after structural relaxation at the PBE level of DFT.

Summary:
Space-group type: P2_1/c (14)
Total moment: 0.00 μB per cell
Formation energy: -663 meV per atom

Unit cell a=6.8840 b=7.5214 c=10.5638 alpha=90.00 beta=94.43 gamma=90.00
With the nearest neighbours (Å) after each atom.
Fractional positions:
Rh 0.5000 0.5000 0.0000  6 Pr 2.80-2.87
Rh 0.0000 0.0000 0.5000  6 Pr 2.80-2.87
Pt 0.0553 0.6144 0.2267  6 Pr 2.95-3.14
Pt 0.4447 0.1144 0.2733  6 Pr 2.95-3.14
Pt 0.5553 0.8856 0.7267  6 Pr 2.95-3.14
Pt 0.9447 0.3856 0.7733  6 Pr 2.95-3.14
Pr 0.3285 0.8152 0.4317  1 Rh 2.80, 1 Pt 2.95
Pr 0.8285 0.6848 0.9317  1 Rh 2.80, 1 Pt 2.95
Pr 0.8391 0.9536 0.2465  1 Rh 2.84, 2 Pt 2.97-3.00
Pr 0.3254 0.8245 0.0776  1 Rh 2.87, 2 Pt 2.98-3.07
Pr 0.8254 0.6755 0.5776  1 Rh 2.87, 2 Pt 2.98-3.07
Pr 0.6609 0.4536 0.2535  1 Rh 2.84, 2 Pt 2.97-3.00
Pr 0.6715 0.1848 0.5683  1 Rh 2.80, 1 Pt 2.95
Pr 0.1746 0.3245 0.4224  1 Rh 2.87, 2 Pt 2.98-3.07
Pr 0.1715 0.3152 0.0683  1 Rh 2.80, 1 Pt 2.95
Pr 0.1609 0.0464 0.7535  1 Rh 2.84, 2 Pt 2.97-3.00
Pr 0.6746 0.1755 0.9224  1 Rh 2.87, 2 Pt 2.98-3.07
Pr 0.3391 0.5464 0.7465  1 Rh 2.84, 2 Pt 2.97-3.00